(1)
# KAg2Te

KAg2Te after structural relaxation (PBE-GGA, the Alexandria database).

Cell: 4.047 4.047 6.857 Å, 90.00 90.00 90.00°
Space group P4/mmm (No. 123)
Symmetry-distinct sites (fractional):
K 0.000 0.000 0.000 (multiplicity 1)
Ag 0.500 0.500 0.299 (multiplicity 2)
Te 0.000 0.000 0.500 (multiplicity 1)

Energy (eV per cell): -9.6



(2)
# K3Ag2Te3

K3Ag2Te3 after structural relaxation (PBE-GGA, the Alexandria database).

Cell: 4.940 12.814 16.592 Å, 90.00 90.00 90.00°
Space group Cmcm (No. 63)
Symmetry-distinct sites (fractional):
K 0.000 0.080 0.109 (multiplicity 8)
K 0.000 0.366 0.250 (multiplicity 4)
Ag 0.000 0.223 0.595 (multiplicity 8)
Te 0.000 0.327 0.750 (multiplicity 4)
Te 0.000 0.370 0.042 (multiplicity 8)

Energy (eV per cell): -94.3



(3)
# K2AgTe

K2AgTe after structural relaxation (PBE-GGA, the Alexandria database).

Cell: 8.873 8.904 3.430 Å, 90.00 90.00 90.00°
Space group Cmmm (No. 65)
Symmetry-distinct sites (fractional):
K 0.250 0.250 0.000 (multiplicity 4)
Ag 0.000 0.000 0.500 (multiplicity 2)
Te 0.000 0.500 0.500 (multiplicity 2)

Energy (eV per cell): -19.6



(4)
# K2AgTe2

K2AgTe2 after structural relaxation (PBE-GGA, the Alexandria database).

Cell: 7.982 7.982 5.322 Å, 90.00 90.00 90.00°
Space group P4/mbm (No. 127)
Symmetry-distinct sites (fractional):
K 0.148 0.352 0.000 (multiplicity 4)
Ag 0.000 0.000 0.500 (multiplicity 2)
Te 0.165 0.665 0.500 (multiplicity 4)

ΔE to the lowest computed polymorph (eV/atom): 0.1123



(5)
# KAg2Te

KAg2Te after structural relaxation (PBE-GGA, the Alexandria database).

Cell: 4.900 6.224 7.776 Å, 90.00 90.00 90.00°
Space group Imm2 (No. 44)
Symmetry-distinct sites (fractional):
K 0.000 0.000 0.000 (multiplicity 2)
Ag 0.000 0.000 0.494 (multiplicity 2)
Ag 0.000 0.500 0.188 (multiplicity 2)
Te 0.000 0.500 0.809 (multiplicity 2)

Energy (eV per cell): -20.4



(6)
# K2AgTe

K2AgTe after structural relaxation (PBE-GGA, the Alexandria database).

Cell: 5.442 5.442 9.145 Å, 90.00 90.00 90.00°
Space group I4/mmm (No. 139)
Symmetry-distinct sites (fractional):
K 0.000 0.500 0.250 (multiplicity 4)
Ag 0.000 0.000 0.000 (multiplicity 2)
Te 0.000 0.000 0.500 (multiplicity 2)

Energy (eV per cell): -19.5



(7)
# KAg2Te

KAg2Te after structural relaxation (PBE-GGA, the Alexandria database).

Cell: 3.278 5.372 5.964 Å, 90.00 90.00 90.00°
Space group P2/m (No. 10)
Symmetry-distinct sites (fractional):
K 0.000 0.000 0.000 (multiplicity 1)
Ag 0.498 0.500 0.757 (multiplicity 2)
Te 0.500 0.000 0.500 (multiplicity 1)

Energy (eV per cell): -10.3



(8)
# KAg6Te2

KAg6Te2 after structural relaxation (PBE-GGA, the Alexandria database).

Cell: 4.582 4.582 10.537 Å, 90.00 90.00 90.00°
Space group P4/mmm (No. 123)
Symmetry-distinct sites (fractional):
K 0.000 0.000 0.000 (multiplicity 1)
Ag 0.000 0.000 0.500 (multiplicity 1)
Ag 0.000 0.500 0.334 (multiplicity 4)
Ag 0.500 0.500 0.500 (multiplicity 1)
Te 0.500 0.500 0.172 (multiplicity 2)

Energy (eV per cell): -26.4



(9)
# K2AgTe

K2AgTe after structural relaxation (PBE-GGA, the Alexandria database).

Cell: 4.620 5.415 11.490 Å, 90.00 90.00 90.00°
Space group Imm2 (No. 44)
Symmetry-distinct sites (fractional):
K 0.000 0.000 0.000 (multiplicity 2)
K 0.000 0.500 0.212 (multiplicity 2)
Ag 0.000 0.000 0.425 (multiplicity 2)
Te 0.000 0.500 0.776 (multiplicity 2)

Energy (eV per cell): -19.8



(10)
# KAgTe3

KAgTe3 after structural relaxation (PBE-GGA, the Alexandria database).

Cell: 5.581 5.581 5.581 Å, 90.00 90.00 90.00°
Space group Pm-3m (No. 221)
Symmetry-distinct sites (fractional):
K 0.000 0.000 0.000 (multiplicity 1)
Ag 0.500 0.500 0.500 (multiplicity 1)
Te 0.000 0.500 0.500 (multiplicity 3)

ΔE to the lowest computed polymorph (eV/atom): 0.2498



(11)
# KAgTe3

KAgTe3 after structural relaxation (PBE-GGA, the Alexandria database).

Cell: 5.876 8.933 14.205 Å, 90.00 109.65 90.00°
Space group P2_1/c (No. 14)
Symmetry-distinct sites (fractional):
K 0.232 0.165 0.464 (multiplicity 4)
Ag 0.151 0.033 0.170 (multiplicity 4)
Te 0.050 0.144 0.707 (multiplicity 4)
Te 0.276 0.557 0.501 (multiplicity 4)
Te 0.387 0.566 0.192 (multiplicity 4)

ΔE to the lowest computed polymorph (eV/atom): 0.0000



(12)
# KAg3Te3

KAg3Te3 after structural relaxation (PBE-GGA, the Alexandria database).

Cell: 7.6472 7.6472 27.1938 Å, 90.00 90.00 120.00°
Space group R-3 (No. 148, hexagonal axes)
Symmetry-distinct sites (fractional):
K 0.0000 0.0000 0.1667 (multiplicity 6)
Ag 0.0014 0.3408 0.3642 (multiplicity 18)
Te 0.0006 0.3273 0.5917 (multiplicity 18)

Energy (eV per cell): -124.6